! Y3Co5S12, relaxed, DFT PBE; values from VASP
! **DOS at the Fermi energy**: 66.9 states/eV/cell
! **Total moment**: 29.4 Bohr magnetons per cell
! **E_form (uncorrected)**: -849 meV per atom
! **SG**: Ia-3d, No. 230
! **E_tot**: -121.424 eV per formula unit
&SYSTEM
  ibrav = 0, nat = 80, ntyp = 3
/
ATOMIC_SPECIES
Y 88.91 Y.upf
Co 58.93 Co.upf
S 32.06 S.upf
ATOMIC_POSITIONS angstrom
Y 3.6009 1.8005 0.0000
Y 7.2018 3.6009 -1.8005
Y 1.8005 0.0000 3.6009
Y 9.0023 0.0000 3.6009
Y 0.0000 3.6009 1.8005
Y 3.6009 -1.8005 7.2018
Y 3.6009 9.0023 0.0000
Y 7.2018 3.6009 5.4014
Y -1.8005 7.2018 3.6009
Y 5.4014 7.2018 3.6009
Y 0.0000 3.6009 9.0023
Y 3.6009 5.4014 7.2018
Co 0.0000 0.0000 0.0000
Co 3.6009 3.6009 -3.6009
Co 3.6009 -3.6009 3.6009
Co 7.2018 0.0000 0.0000
Co 10.8028 1.8005 0.0000
Co 7.2018 -3.6009 5.4014
Co 5.4014 7.2018 -3.6009
Co 5.4014 0.0000 3.6009
Co 3.6009 5.4014 0.0000
Co 7.2018 3.6009 1.8005
Co -3.6009 3.6009 3.6009
Co 0.0000 7.2018 0.0000
Co 0.0000 0.0000 7.2018
Co 3.6009 3.6009 3.6009
Co 0.0000 3.6009 5.4014
Co 3.6009 1.8005 7.2018
Co 1.8005 7.2018 3.6009
Co 1.8005 0.0000 10.8028
Co 0.0000 10.8028 1.8005
Co -3.6009 5.4014 7.2018
S 2.0923 -0.4539 0.7913
S 8.7105 4.3922 -4.0548
S 9.2941 0.4539 0.7913
S 8.7105 -2.8096 4.0548
S 6.7479 -0.7913 2.0923
S 11.2566 -1.5086 2.8096
S 0.7913 2.0923 -0.4539
S 10.0114 3.1470 -1.5086
S 4.3922 4.0548 -1.5086
S 6.4105 2.0923 0.4539
S -0.4539 0.7913 2.0923
S 4.0548 -1.5086 4.3922
S 6.7479 6.4105 -2.0923
S 4.0548 1.5086 2.8096
S 4.3922 -4.0548 8.7105
S 6.4105 -2.0923 6.7479
S 2.8096 4.0548 1.5086
S 7.9932 5.1096 0.4539
S 4.0548 8.7105 -2.8096
S 6.7479 0.7913 5.1096
S 2.0923 6.7479 -0.7913
S 8.7105 2.8096 3.1470
S 1.5086 2.8096 4.0548
S 2.0923 0.4539 6.4105
S 5.1096 6.7479 0.7913
S 5.6932 4.3922 3.1470
S -1.5086 4.3922 4.0548
S 5.1096 0.4539 7.9932
S 0.4539 6.4105 2.0923
S 3.1470 -1.5086 10.0114
S -0.7913 2.0923 6.7479
S 4.3922 3.1470 5.6932
S 0.7913 9.2941 0.4539
S 2.8096 11.2566 -1.5086
S 3.1470 5.6932 4.3922
S 0.4539 0.7913 9.2941
S 3.1470 8.7105 2.8096
S 7.6557 6.4105 5.1096
S 0.7913 5.1096 6.7479
S 2.8096 3.1470 8.7105
S -2.8096 4.0548 8.7105
S 6.4105 5.1096 7.6557
S -4.0548 8.7105 4.3922
S 0.4539 7.9932 5.1096
S -1.5086 10.0114 3.1470
S -2.0923 6.7479 6.4105
S -1.5086 2.8096 11.2566
S 5.1096 7.6557 6.4105
CELL_PARAMETERS angstrom
-7.2018 7.2018 7.2018
7.2018 -7.2018 7.2018
7.2018 7.2018 -7.2018



! TlGaP3, relaxed, DFT PBE; values from VASP
! **DOS at the Fermi energy**: 6.6 states/eV/cell
! **Total moment**: 0.0 Bohr magnetons per cell
! **SG**: Pm-3m, No. 221
! **Offset from the most stable computed form**: 0 meV/atom
! **E_tot**: -17.758 eV per formula unit
&SYSTEM
  ibrav = 0, nat = 5, ntyp = 3
/
ATOMIC_SPECIES
Tl 204.38 Tl.upf
Ga 69.72 Ga.upf
P 30.97 P.upf
ATOMIC_POSITIONS angstrom
Tl 0.0000 0.0000 0.0000
Ga 2.4142 2.4142 2.4142
P 0.0000 2.4142 2.4142
P 2.4142 0.0000 2.4142
P 2.4142 2.4142 0.0000
CELL_PARAMETERS angstrom
4.8285 0.0000 0.0000
0.0000 4.8285 0.0000
0.0000 0.0000 4.8285



! Dy6ErAl2, relaxed, DFT PBE; values from VASP
! **DOS at the Fermi energy**: 10.7 states/eV/cell
! **Total moment**: 0.0 Bohr magnetons per cell
! **SG**: C2/m, No. 12
! **Offset from the most stable computed form**: 0 meV/atom
! **E_tot**: -41.164 eV per formula unit
&SYSTEM
  ibrav = 0, nat = 9, ntyp = 3
/
ATOMIC_SPECIES
Dy 162.50 Dy.upf
Er 167.26 Er.upf
Al 26.98 Al.upf
ATOMIC_POSITIONS angstrom
Dy -0.9684 0.0000 3.6526
Dy 2.3281 0.0000 4.5649
Dy 3.4507 0.0000 1.3724
Dy 5.2527 0.0000 9.7162
Dy 6.3753 0.0000 6.5237
Dy 9.6718 0.0000 7.4359
Er 0.0000 0.0000 0.0000
Al 1.3681 0.0000 8.8431
Al 7.3353 0.0000 2.2454
CELL_PARAMETERS angstrom
6.2533 -1.8299 0.0000
6.2533 1.8299 0.0000
-3.8032 0.0000 11.0886



! Cs3HfBi, relaxed, DFT PBE; values from VASP
! **DOS at the Fermi energy**: 6.6 states/eV/cell
! **Total moment**: 2.0 Bohr magnetons per cell
! **SG**: Pm-3m, No. 221
! **E_tot**: -10.848 eV per formula unit
&SYSTEM
  ibrav = 0, nat = 5, ntyp = 3
/
ATOMIC_SPECIES
Cs 132.91 Cs.upf
Hf 178.49 Hf.upf
Bi 208.98 Bi.upf
ATOMIC_POSITIONS angstrom
Cs 0.0000 0.0000 3.4669
Cs 0.0000 3.4669 0.0000
Cs 3.4669 0.0000 0.0000
Hf 0.0000 0.0000 0.0000
Bi 3.4669 3.4669 3.4669
CELL_PARAMETERS angstrom
6.9339 0.0000 0.0000
0.0000 6.9339 0.0000
0.0000 0.0000 6.9339



! CaY3Tm2Bi6, relaxed, DFT PBE; values from VASP
! **DOS at the Fermi energy**: 3.2 states/eV/cell
! **Total moment**: 0.0 Bohr magnetons per cell
! **SG**: C2/m, No. 12
! **E_tot**: -63.481 eV per formula unit
&SYSTEM
  ibrav = 0, nat = 12, ntyp = 4
/
ATOMIC_SPECIES
Ca 40.08 Ca.upf
Y 88.91 Y.upf
Tm 168.93 Tm.upf
Bi 208.98 Bi.upf
ATOMIC_POSITIONS angstrom
Ca 0.0000 0.0000 0.0000
Y -1.0267 0.0000 4.3770
Y 6.2236 0.0000 1.4559
Y 11.2851 0.0000 7.2982
Tm 5.1568 0.0000 5.8490
Tm 12.3518 0.0000 2.9050
Bi 2.0925 0.0000 5.0876
Bi 3.1295 0.0000 0.7691
Bi 8.2206 0.0000 6.5149
Bi 9.2880 0.0000 2.2392
Bi 14.3791 0.0000 7.9850
Bi 15.4161 0.0000 3.6665
CELL_PARAMETERS angstrom
9.7810 -2.2398 0.0000
9.7810 2.2398 0.0000
-2.0534 0.0000 8.7541



! CsOsN3, relaxed, DFT PBE; values from VASP
! **DOS at the Fermi energy**: 3.1 states/eV/cell
! **Total moment**: 0.0 Bohr magnetons per cell
! **E_form (uncorrected)**: 950 meV per atom
! **SG**: Pm-3m, No. 221
! **E_tot**: -32.309 eV per formula unit
&SYSTEM
  ibrav = 0, nat = 5, ntyp = 3
/
ATOMIC_SPECIES
Cs 132.91 Cs.upf
Os 190.23 Os.upf
N 14.01 N.upf
ATOMIC_POSITIONS angstrom
Cs 0.0000 0.0000 0.0000
Os 2.0131 2.0131 2.0131
N 0.0000 2.0131 2.0131
N 2.0131 0.0000 2.0131
N 2.0131 2.0131 0.0000
CELL_PARAMETERS angstrom
4.0261 0.0000 0.0000
0.0000 4.0261 0.0000
0.0000 0.0000 4.0261



! NaInSn, relaxed, DFT PBE; values from VASP
! **DOS at the Fermi energy**: 2.8 states/eV/cell
! **Total moment**: 0.0 Bohr magnetons per cell
! **SG**: Imm2, No. 44
! **E_tot**: -8.338 eV per formula unit
&SYSTEM
  ibrav = 0, nat = 9, ntyp = 3
/
ATOMIC_SPECIES
Na 22.99 Na.upf
In 114.82 In.upf
Sn 118.71 Sn.upf
ATOMIC_POSITIONS angstrom
Na 0.0000 0.0000 0.0000
Na 2.4480 2.4923 -0.0700
Na 0.0000 5.3149 3.5605
In 0.0000 5.0412 0.0288
In 0.0000 0.0000 3.4397
In 0.0000 10.5732 0.0288
Sn 2.4480 5.1661 -1.6842
Sn 0.0000 2.6411 1.9464
Sn 0.0000 7.8072 1.4831
CELL_PARAMETERS angstrom
-2.4480 7.8072 3.6306
2.4480 -7.8072 3.6306
2.4480 7.8072 -3.6306



! ScTa2Mo, relaxed, DFT PBE; values from VASP
! **DOS at the Fermi energy**: 5.0 states/eV/cell
! **Total moment**: 0.0 Bohr magnetons per cell
! **SG**: Cmmm, No. 65
! **Offset from the most stable computed form**: 27 meV/atom
! **E_tot**: -40.533 eV per formula unit
&SYSTEM
  ibrav = 0, nat = 4, ntyp = 3
/
ATOMIC_SPECIES
Sc 44.96 Sc.upf
Ta 180.95 Ta.upf
Mo 95.94 Mo.upf
ATOMIC_POSITIONS angstrom
Sc 0.0000 0.0000 0.0000
Ta 1.6334 0.0000 2.5737
Ta 1.6334 0.0000 6.8552
Mo 0.0000 0.0000 4.7145
CELL_PARAMETERS angstrom
1.6334 -2.4248 0.0000
1.6334 2.4248 0.0000
0.0000 0.0000 9.4289



! Ca3NiCl8, relaxed, DFT PBE; values from VASP
! **Total moment**: 2.1 Bohr magnetons per cell
! **E_form (uncorrected)**: -1895 meV per atom
! **SG**: C2/m, No. 12
! **E_tot**: -49.299 eV per formula unit
&SYSTEM
  ibrav = 0, nat = 12, ntyp = 3
/
ATOMIC_SPECIES
Ca 40.08 Ca.upf
Ni 58.69 Ni.upf
Cl 35.45 Cl.upf
ATOMIC_POSITIONS angstrom
Ca 0.0000 0.0000 0.0000
Ca 1.1237 1.9810 3.2418
Ca 1.1237 -1.9810 3.2418
Ni 6.8080 0.0000 0.0000
Cl 2.1206 0.0000 1.6862
Cl 3.2031 1.7824 5.0635
Cl 0.2805 0.0000 4.9872
Cl 5.8522 1.7824 1.4201
Cl 3.2031 -1.7824 5.0635
Cl 8.7749 0.0000 1.4965
Cl 5.8522 -1.7824 1.4201
Cl 6.9347 0.0000 4.7975
CELL_PARAMETERS angstrom
6.8080 -3.9619 0.0000
6.8080 3.9619 0.0000
-4.5606 0.0000 6.4837



! CaI2NO, relaxed, DFT PBE; values from VASP
! **DOS at the Fermi energy**: 2.8 states/eV/cell
! **Total moment**: 1.2 Bohr magnetons per cell
! **E_form (uncorrected)**: 527 meV per atom
! **SG**: P4/mmm, No. 123
! **Offset from the most stable computed form**: 233 meV/atom
! **E_tot**: -15.751 eV per formula unit
&SYSTEM
  ibrav = 0, nat = 5, ntyp = 4
/
ATOMIC_SPECIES
Ca 40.08 Ca.upf
I 126.90 I.upf
N 14.01 N.upf
O 16.00 O.upf
ATOMIC_POSITIONS angstrom
Ca 0.0000 0.0000 0.0000
I 0.0000 2.4961 2.1629
I 2.4961 0.0000 2.1629
N 2.4961 2.4961 0.0000
O 2.4961 2.4961 2.1629
CELL_PARAMETERS angstrom
4.9923 0.0000 0.0000
0.0000 4.9923 0.0000
0.0000 0.0000 4.3257



! LaErMgAl, relaxed, DFT PBE; values from VASP
! **DOS at the Fermi energy**: 2.9 states/eV/cell
! **Total moment**: 0.0 Bohr magnetons per cell
! **SG**: F-43m, No. 216
! **E_tot**: -15.844 eV per formula unit
&SYSTEM
  ibrav = 0, nat = 4, ntyp = 4
/
ATOMIC_SPECIES
La 138.91 La.upf
Er 167.26 Er.upf
Mg 24.30 Mg.upf
Al 26.98 Al.upf
ATOMIC_POSITIONS angstrom
La 0.0000 0.0000 0.0000
Er 3.7598 3.7598 3.7598
Mg 1.8799 1.8799 1.8799
Al 5.6396 5.6396 5.6396
CELL_PARAMETERS angstrom
0.0000 3.7598 3.7598
3.7598 0.0000 3.7598
3.7598 3.7598 0.0000



! Pm5Y2Sc2, relaxed, DFT PBE; values from VASP
! **DOS at the Fermi energy**: 15.5 states/eV/cell
! **Total moment**: 0.0 Bohr magnetons per cell
! **SG**: C2/m, No. 12
! **E_tot**: -48.244 eV per formula unit
&SYSTEM
  ibrav = 0, nat = 9, ntyp = 3
/
ATOMIC_SPECIES
Pm 145.00 Pm.upf
Y 88.91 Y.upf
Sc 44.96 Sc.upf
ATOMIC_POSITIONS angstrom
Pm 0.0000 0.0000 0.0000
Pm 3.1050 0.0000 5.4196
Pm 6.6447 0.0000 0.1291
Pm 11.2473 0.0000 8.2530
Pm 14.7870 0.0000 2.9625
Y -0.1727 0.0000 5.5502
Y 18.0647 0.0000 2.8319
Sc 6.7137 0.0000 5.4486
Sc 11.1783 0.0000 2.9335
CELL_PARAMETERS angstrom
9.8977 -1.7350 0.0000
9.8977 1.7350 0.0000
-1.9034 0.0000 8.3821